# 1
# BaLa2NbGa | Alexandria | PBE-GGA | optimized geometry
data_BaLa2NbGa
_chemical_formula_sum 'Ba1 La2 Nb1 Ga1'
_cell_length_a 5.895
_cell_length_b 5.895
_cell_length_c 5.189
_cell_angle_alpha 90.00
_cell_angle_beta 90.00
_cell_angle_gamma 90.00
_symmetry_space_group_name_H-M 'P 4/m m m'
_symmetry_Int_Tables_number 123
_symmetry_space_group_name_Hall '-P 4 2'
loop_
_atom_site_label
_atom_site_type_symbol
_atom_site_fract_x
_atom_site_fract_y
_atom_site_fract_z
Ba1 Ba 0.000 0.000 0.000
La1 La 0.000 0.500 0.500
Nb1 Nb 0.500 0.500 0.000
Ga1 Ga 0.500 0.500 0.500
# Crystal system: tetragonal
# Total DFT energy (no corrections) in eV per atom: -4.582
# Total magnetic moment in Bohr magnetons per cell: 2.665
# DFT formation energy in eV per formula unit: 2.0

=====

# 2
# NiSb2Pd7 | Alexandria | PBE-GGA | optimized geometry
data_NiSb2Pd7
_chemical_formula_sum 'Ni2 Sb4 Pd14'
_cell_length_a 7.603
_cell_length_b 16.338
_cell_length_c 2.989
_cell_angle_alpha 90.00
_cell_angle_beta 90.00
_cell_angle_gamma 90.00
_symmetry_space_group_name_H-M 'C m m m'
_symmetry_Int_Tables_number 65
_symmetry_space_group_name_Hall '-C 2 2'
loop_
_atom_site_label
_atom_site_type_symbol
_atom_site_fract_x
_atom_site_fract_y
_atom_site_fract_z
Ni1 Ni 0.000 0.000 0.000
Sb1 Sb 0.000 0.333 0.500
Pd1 Pd 0.000 0.200 0.000
Pd2 Pd 0.000 0.500 0.500
Pd3 Pd 0.196 0.090 0.500
# Uncorrected formation energy in eV per atom: 0.01
# Crystal system: orthorhombic
# Total DFT energy (no corrections) in eV per atom: -5.027
# Total magnetic moment in Bohr magnetons per cell: 2.739